## Sr2CaPd2 (GGA-PBE)

Data for an optimized crystal structure of Sr2CaPd2.

Unit cell a=8.8531 b=8.8531 c=3.5930 alpha=90.00 beta=90.00 gamma=90.00
Sites, in units of the cell vectors:
1 Sr 0.1368 0.3632 0.0000
2 Sr 0.3632 0.8632 0.0000
3 Sr 0.6368 0.1368 0.0000
4 Sr 0.8632 0.6368 0.0000
5 Ca 0.0000 0.0000 0.0000
6 Ca 0.5000 0.5000 0.0000
7 Pd 0.1651 0.6651 0.5000
8 Pd 0.3349 0.1651 0.5000
9 Pd 0.6651 0.8349 0.5000
10 Pd 0.8349 0.3349 0.5000

Symmetry: P4/mbm, No. 127
DOS(E_F): 2.9 states/eV/f.u.
Energy above the lowest structure with this stoichiometry: 217.8 meV/atom